The following is a DFT calculation (PBE-GGA) of a relaxed SiGe2Pb crystal.

The value obtained for the electronic total energy is -65.256 eV per cell. For the calculated volume, the calculation gives 351.0 Å³/cell. For the energy above the most stable polymorph in this dataset, the calculation gives 0.3403 eV/atom. For the formation energy (no corrections), the calculation gives 513 meV per atom. The value obtained for the density of states at the Fermi level is 0.68 states/eV/atom.

The structure belongs to space group Fm-3m (No. 225); the cell edges are 7.054, 7.054 and 7.054 Å and the angles 90.00°, 90.00° and 90.00°. Symmetry generates all atoms from Si at (0.000, 0.000, 0.000), Ge at (0.250, 0.250, 0.250) and Pb at (0.000, 0.000, 0.500).